Computed, not measured: a relaxed Ba3MgPt crystal at the GGA-PBEsol level of DFT.

The calculated total energy is -3.30 eV per atom. The value obtained for the magnetic moment is 0.0000 μB/atom. The calculation puts the formation energy at -0.277 eV per atom.

Cell: 6.104 6.104 6.104 Å, 90.00 90.00 90.00°
Fractional coordinates of all 5 atoms:
Ba1 0.000 0.000 0.500
Ba2 0.000 0.500 0.000
Ba3 0.500 0.000 0.000
Mg1 0.500 0.500 0.500
Pt1 0.000 0.000 0.000



Computed, not measured: a relaxed EuTiAgO4 crystal at the GGA-PBEsol level of DFT.

The calculated total energy is -8.49 eV per atom. The value obtained for the magnetic moment is 0.8568 μB/atom.

Cell: 13.310 5.169 5.140 Å, 90.00 90.00 90.00°
Fractional coordinates of all 28 atoms:
Eu1 0.103 0.010 0.250
Eu2 0.103 0.490 0.750
Eu3 0.897 0.510 0.250
Eu4 0.897 0.990 0.750
Ti1 0.267 0.505 0.250
Ti2 0.267 0.995 0.750
Ti3 0.733 0.005 0.250
Ti4 0.733 0.495 0.750
Ag1 0.427 0.000 0.250
Ag2 0.427 0.500 0.750
Ag3 0.573 0.000 0.750
Ag4 0.573 0.500 0.250
O1 0.066 0.026 0.750
O2 0.066 0.474 0.250
O3 0.220 0.750 0.000
O4 0.220 0.750 0.500
O5 0.230 0.250 0.000
O6 0.230 0.250 0.500
O7 0.402 0.520 0.250
O8 0.402 0.980 0.750
O9 0.598 0.020 0.250
O10 0.598 0.480 0.750
O11 0.770 0.750 0.000
O12 0.770 0.750 0.500
O13 0.780 0.250 0.000
O14 0.780 0.250 0.500
O15 0.934 0.526 0.750
O16 0.934 0.974 0.250



Computed, not measured: a relaxed BeCu3 crystal at the GGA-PBEsol level of DFT.

The calculated total energy is -4.26 eV per atom. The value obtained for the magnetic moment is 0.0000 μB/atom. The calculation puts the formation energy at -0.005 eV per atom.

Cell: 2.502 2.502 7.756 Å, 90.00 90.00 120.00°
Fractional coordinates of all 4 atoms:
Be1 0.000 0.000 0.000
Cu1 0.000 0.000 0.500
Cu2 0.333 0.667 0.232
Cu3 0.333 0.667 0.768



Computed, not measured: a relaxed SrSc2Pd crystal at the GGA-PBEsol level of DFT.

The calculated total energy is -5.22 eV per atom. The value obtained for the magnetic moment is 0.0002 μB/atom. The calculation puts the formation energy at 0.037 eV per atom.

Cell: 4.979 4.979 4.979 Å, 60.00 60.00 60.00°
Fractional coordinates of all 4 atoms:
Sr1 0.000 0.000 0.000
Sc1 0.250 0.250 0.250
Sc2 0.750 0.750 0.750
Pd1 0.500 0.500 0.500



Computed, not measured: a relaxed OsRuIO2 crystal at the GGA-PBEsol level of DFT.

The calculated total energy is -6.38 eV per atom. The value obtained for the magnetic moment is 0.2559 μB/atom.

Cell: 3.714 3.714 6.069 Å, 90.00 90.00 90.00°
Fractional coordinates of all 5 atoms:
Os1 0.000 0.000 0.000
Ru1 0.500 0.500 0.500
I1 0.500 0.500 0.000
O1 0.000 0.500 0.500
O2 0.500 0.000 0.500



Computed, not measured: a relaxed NaNdSe2 crystal at the GGA-PBEsol level of DFT.

The calculated total energy is -5.23 eV per atom. The value obtained for the magnetic moment is 0.0000 μB/atom.

Cell: 7.312 7.312 7.312 Å, 33.59 33.59 33.59°
Fractional coordinates of all 4 atoms:
Na1 0.000 0.000 0.000
Nd1 0.500 0.500 0.500
Se1 0.246 0.246 0.246
Se2 0.754 0.754 0.754



Computed, not measured: a relaxed FeRe2Ru crystal at the GGA-PBEsol level of DFT.

The calculated total energy is -11.41 eV per atom. The energy above the most stable polymorph in this dataset comes out at 72 meV/atom. The value obtained for the magnetic moment is 0.0002 μB/atom. The calculation puts the formation energy at 0.039 eV per atom.

Cell: 2.676 3.684 5.349 Å, 90.00 90.00 90.00°
Fractional coordinates of all 4 atoms:
Fe1 0.000 0.000 0.000
Re1 0.500 0.500 0.236
Re2 0.500 0.500 0.764
Ru1 0.000 0.000 0.500



Computed, not measured: a relaxed Zn7Pt crystal at the GGA-PBEsol level of DFT.

The calculated total energy is -2.42 eV per atom. The value obtained for the magnetic moment is 0.0000 μB/atom. The calculation puts the formation energy at -0.165 eV per atom.

Cell: 5.385 5.385 5.385 Å, 60.00 60.00 60.00°
Fractional coordinates of all 8 atoms:
Zn1 0.000 0.000 0.000
Zn2 0.000 0.000 0.500
Zn3 0.000 0.500 0.000
Zn4 0.000 0.500 0.500
Zn5 0.500 0.000 0.000
Zn6 0.500 0.000 0.500
Zn7 0.500 0.500 0.000
Pt1 0.500 0.500 0.500



Computed, not measured: a relaxed Fe2SiBr crystal at the GGA-PBEsol level of DFT.

The calculated total energy is -5.93 eV per atom. The energy above the most stable polymorph in this dataset comes out at 312 meV/atom. The value obtained for the magnetic moment is 0.5031 μB/atom.

Cell: 4.143 4.143 2.862 Å, 90.00 90.00 90.00°
Fractional coordinates of all 4 atoms:
Fe1 0.000 0.500 0.000
Fe2 0.500 0.000 0.000
Si1 0.000 0.000 0.500
Br1 0.500 0.500 0.500



Computed, not measured: a relaxed Be3GaCl crystal at the GGA-PBEsol level of DFT.

The calculated total energy is -2.38 eV per atom. The value obtained for the magnetic moment is 0.0000 μB/atom.

Cell: 4.110 4.110 4.110 Å, 90.00 90.00 90.00°
Fractional coordinates of all 5 atoms:
Be1 0.000 0.000 0.500
Be2 0.000 0.500 0.000
Be3 0.500 0.000 0.000
Ga1 0.500 0.500 0.500
Cl1 0.000 0.000 0.000



Computed, not measured: a relaxed SnI2O2 crystal at the GGA-PBEsol level of DFT.

The calculated total energy is -3.52 eV per atom. The value obtained for the magnetic moment is 0.0000 μB/atom.

Cell: 4.203 4.203 6.948 Å, 90.00 90.00 90.00°
Fractional coordinates of all 5 atoms:
Sn1 0.000 0.000 0.000
I1 0.500 0.500 0.000
I2 0.500 0.500 0.500
O1 0.000 0.500 0.500
O2 0.500 0.000 0.500



Computed, not measured: a relaxed MoPbAu2 crystal at the GGA-PBEsol level of DFT.

The calculated total energy is -5.63 eV per atom. The value obtained for the magnetic moment is 0.0002 μB/atom. The calculation puts the formation energy at 0.279 eV per atom.

Cell: 2.941 2.941 8.843 Å, 90.00 90.18 90.00°
Fractional coordinates of all 4 atoms:
Mo1 0.000 0.000 0.000
Pb1 0.000 0.000 0.500
Au1 0.498 0.500 0.789
Au2 0.502 0.500 0.211



Computed, not measured: a relaxed Zr2TePb crystal at the GGA-PBEsol level of DFT.

The calculated total energy is -6.66 eV per atom. The energy above the most stable polymorph in this dataset comes out at 193 meV/atom. The value obtained for the magnetic moment is 0.0035 μB/atom.

Cell: 5.865 5.865 5.865 Å, 137.33 137.33 61.93°
Fractional coordinates of all 4 atoms:
Zr1 0.000 0.000 0.000
Zr2 0.750 0.250 0.500
Te1 0.500 0.500 0.000
Pb1 0.250 0.750 0.500



Computed, not measured: a relaxed PmHoMg2 crystal at the GGA-PBEsol level of DFT.

The calculated total energy is -3.46 eV per atom. The value obtained for the magnetic moment is 0.0001 μB/atom. The calculation puts the formation energy at -0.081 eV per atom.

Cell: 5.326 5.326 5.326 Å, 60.00 60.00 60.00°
Fractional coordinates of all 4 atoms:
Pm1 0.000 0.000 0.000
Ho1 0.500 0.500 0.500
Mg1 0.250 0.250 0.250
Mg2 0.750 0.750 0.750



Computed, not measured: a relaxed FeAsH4O6 crystal at the GGA-PBEsol level of DFT.

The calculated total energy is -5.99 eV per atom. The value obtained for the magnetic moment is 0.0833 μB/atom.

Cell: 8.716 9.677 9.983 Å, 90.00 90.00 90.00°
Fractional coordinates of all 96 atoms:
Fe1 0.151 0.183 0.124
Fe2 0.151 0.317 0.624
Fe3 0.349 0.683 0.124
Fe4 0.349 0.817 0.624
Fe5 0.651 0.183 0.376
Fe6 0.651 0.317 0.876
Fe7 0.849 0.683 0.376
Fe8 0.849 0.817 0.876
As1 0.039 0.634 0.655
As2 0.039 0.866 0.155
As3 0.461 0.134 0.655
As4 0.461 0.366 0.155
As5 0.539 0.634 0.845
As6 0.539 0.866 0.345
As7 0.961 0.134 0.845
As8 0.961 0.366 0.345
H1 0.142 0.605 0.962
H2 0.142 0.895 0.462
H3 0.163 0.606 0.307
H4 0.163 0.894 0.807
H5 0.178 0.181 0.367
H6 0.178 0.319 0.867
H7 0.200 0.024 0.564
H8 0.200 0.476 0.064
H9 0.300 0.524 0.564
H10 0.300 0.976 0.064
H11 0.322 0.681 0.367
H12 0.322 0.819 0.867
H13 0.337 0.106 0.307
H14 0.337 0.394 0.807
H15 0.358 0.105 0.962
H16 0.358 0.395 0.462
H17 0.642 0.605 0.538
H18 0.642 0.895 0.038
H19 0.663 0.606 0.193
H20 0.663 0.894 0.693
H21 0.678 0.181 0.133
H22 0.678 0.319 0.633
H23 0.700 0.024 0.936
H24 0.700 0.476 0.436
H25 0.800 0.524 0.936
H26 0.800 0.976 0.436
H27 0.822 0.681 0.133
H28 0.822 0.819 0.633
H29 0.837 0.106 0.193
H30 0.837 0.394 0.693
H31 0.858 0.105 0.538
H32 0.858 0.395 0.038
O1 0.004 0.041 0.135
O2 0.004 0.459 0.635
O3 0.013 0.695 0.815
O4 0.013 0.805 0.315
O5 0.087 0.224 0.946
O6 0.087 0.276 0.446
O7 0.178 0.580 0.054
O8 0.178 0.920 0.554
O9 0.224 0.119 0.292
O10 0.224 0.381 0.792
O11 0.230 0.657 0.610
O12 0.230 0.843 0.110
O13 0.270 0.157 0.610
O14 0.270 0.343 0.110
O15 0.276 0.619 0.292
O16 0.276 0.881 0.792
O17 0.322 0.080 0.054
O18 0.322 0.420 0.554
O19 0.413 0.724 0.946
O20 0.413 0.776 0.446
O21 0.487 0.195 0.815
O22 0.487 0.305 0.315
O23 0.496 0.541 0.135
O24 0.496 0.959 0.635
O25 0.504 0.041 0.365
O26 0.504 0.459 0.865
O27 0.513 0.695 0.685
O28 0.513 0.805 0.185
O29 0.587 0.224 0.554
O30 0.587 0.276 0.054
O31 0.678 0.580 0.446
O32 0.678 0.920 0.946
O33 0.724 0.119 0.208
O34 0.724 0.381 0.708
O35 0.730 0.657 0.890
O36 0.730 0.843 0.390
O37 0.770 0.157 0.890
O38 0.770 0.343 0.390
O39 0.776 0.619 0.208
O40 0.776 0.881 0.708
O41 0.822 0.080 0.446
O42 0.822 0.420 0.946
O43 0.913 0.724 0.554
O44 0.913 0.776 0.054
O45 0.987 0.195 0.685
O46 0.987 0.305 0.185
O47 0.996 0.541 0.365
O48 0.996 0.959 0.865



Computed, not measured: a relaxed KLi2Ta crystal at the GGA-PBEsol level of DFT.

The calculated total energy is -3.08 eV per atom. The energy above the most stable polymorph in this dataset comes out at 238 meV/atom. The value obtained for the magnetic moment is 0.7494 μB/atom. The calculation puts the formation energy at 1.325 eV per atom.

Cell: 6.158 6.158 6.158 Å, 140.24 140.24 57.48°
Fractional coordinates of all 4 atoms:
K1 0.000 0.000 0.000
Li1 0.500 0.500 0.000
Li2 0.750 0.250 0.500
Ta1 0.250 0.750 0.500



Computed, not measured: a relaxed TlSbSe2 crystal at the GGA-PBEsol level of DFT.

The calculated total energy is -4.04 eV per atom. The value obtained for the magnetic moment is 0.0000 μB/atom.

Cell: 8.998 4.084 12.435 Å, 90.00 109.85 90.00°
Fractional coordinates of all 16 atoms:
Tl1 0.053 0.250 0.360
Tl2 0.317 0.750 0.862
Tl3 0.683 0.250 0.138
Tl4 0.947 0.750 0.640
Sb1 0.184 0.250 0.116
Sb2 0.425 0.750 0.617
Sb3 0.575 0.250 0.383
Sb4 0.816 0.750 0.884
Se1 0.061 0.250 0.893
Se2 0.208 0.250 0.613
Se3 0.345 0.750 0.393
Se4 0.396 0.750 0.122
Se5 0.604 0.250 0.878
Se6 0.655 0.250 0.607
Se7 0.792 0.750 0.387
Se8 0.939 0.750 0.107



Computed, not measured: a relaxed Zr3CuNi crystal at the GGA-PBEsol level of DFT.

The calculated total energy is -7.07 eV per atom. The value obtained for the magnetic moment is 0.0002 μB/atom. The calculation puts the formation energy at 0.481 eV per atom.

Cell: 4.747 4.747 4.747 Å, 90.00 90.00 90.00°
Fractional coordinates of all 5 atoms:
Zr1 0.000 0.000 0.500
Zr2 0.000 0.500 0.000
Zr3 0.500 0.000 0.000
Cu1 0.500 0.500 0.500
Ni1 0.000 0.000 0.000



Computed, not measured: a relaxed Zn2CdPt crystal at the GGA-PBEsol level of DFT.

The calculated total energy is -3.09 eV per atom. The value obtained for the magnetic moment is 0.0000 μB/atom. The calculation puts the formation energy at -0.264 eV per atom.

Cell: 4.816 4.816 4.816 Å, 131.71 131.71 70.69°
Fractional coordinates of all 4 atoms:
Zn1 0.250 0.750 0.500
Zn2 0.750 0.250 0.500
Cd1 0.000 0.000 0.000
Pt1 0.500 0.500 0.000



Computed, not measured: a relaxed CsYO2 crystal at the GGA-PBEsol level of DFT.

The calculated total energy is -7.20 eV per atom. The value obtained for the magnetic moment is 0.0001 μB/atom.

Cell: 6.421 6.421 6.421 Å, 121.18 121.18 87.97°
Fractional coordinates of all 8 atoms:
Cs1 0.000 0.000 0.000
Cs2 0.750 0.250 0.500
Y1 0.250 0.750 0.500
Y2 0.500 0.500 0.000
O1 0.241 0.125 0.616
O2 0.375 0.759 0.884
O3 0.509 0.625 0.384
O4 0.875 0.491 0.116



Computed, not measured: a relaxed YMoRh2 crystal at the GGA-PBEsol level of DFT.

The calculated total energy is -8.82 eV per atom. The energy above the most stable polymorph in this dataset comes out at 0 meV/atom. The value obtained for the magnetic moment is 0.0004 μB/atom. The calculation puts the formation energy at -0.101 eV per atom.

Cell: 4.762 4.762 4.762 Å, 128.68 126.17 77.57°
Fractional coordinates of all 4 atoms:
Y1 0.000 0.000 0.000
Mo1 0.500 0.500 0.000
Rh1 0.255 0.755 0.500
Rh2 0.745 0.245 0.500



Computed, not measured: a relaxed K2NaGaF6 crystal at the GGA-PBEsol level of DFT.

The calculated total energy is -4.70 eV per atom. The value obtained for the magnetic moment is 0.0001 μB/atom.

Cell: 5.831 5.831 5.831 Å, 60.00 60.00 60.00°
Fractional coordinates of all 10 atoms:
K1 0.250 0.250 0.250
K2 0.750 0.750 0.750
Na1 0.000 0.000 0.000
Ga1 0.500 0.500 0.500
F1 0.269 0.269 0.731
F2 0.269 0.731 0.269
F3 0.269 0.731 0.731
F4 0.731 0.269 0.269
F5 0.731 0.269 0.731
F6 0.731 0.731 0.269